The following is a DFT calculation (PBE-GGA) of a relaxed MgCdHg4 crystal.

Summary:
Space-group type = F-43m
Energy relative to the elements = 0.130 eV/atom

The structure in extended XYZ format:
```
6
Lattice="5.8658 -1.4872 0.6236 2.9851 1.4675 5.0935 1.6345 -4.3485 3.9278" Properties=species:S:1:pos:R:3 pbc="T T T"
Hg 6.8646 -2.3816 3.9288
Hg 4.7494 -3.8120 5.5806
Hg 3.9323 -1.6382 3.6171
Hg 5.4245 -0.9046 6.1634
Mg 7.8640 -3.2761 7.2337
Cd 0.0000 0.0000 0.0000
```


The following is a DFT calculation (PBE-GGA) of a relaxed AlTcO2F crystal.

Summary:
Space-group type = P4/mmm
E_form (uncorrected) = -1.037 eV/atom

The structure in extended XYZ format:
```
5
Lattice="3.8518 0.0000 0.0000 0.0000 3.8518 0.0000 0.0000 0.0000 4.5227" Properties=species:S:1:pos:R:3 pbc="T T T"
Al 1.9259 1.9259 2.2614
O 1.9259 0.0000 0.0000
O 0.0000 1.9259 0.0000
Tc 0.0000 0.0000 0.0000
F 0.0000 0.0000 2.2614
```


The following is a DFT calculation (PBE-GGA) of a relaxed CeZr2ScN4 crystal.

Summary:
Space-group type = Imma
E_form (uncorrected) = -1.693 eV/atom

The structure in extended XYZ format:
```
16
Lattice="6.6536 0.0041 0.0007 -0.0005 6.6536 0.0007 -3.2939 -3.2962 4.7052" Properties=species:S:1:pos:R:3 pbc="T T T"
N 1.7029 1.6217 0.0027
N 3.3001 3.3849 2.3560
N 0.0731 3.3895 2.4257
N 3.2861 -0.0280 2.2809
N 1.6563 1.7399 4.7039
N 1.6499 -1.6867 4.6336
N 1.7094 5.0483 0.0731
N 0.0591 -0.0232 2.3506
Ce 5.0064 1.6829 2.3536
Ce -0.0003 3.3268 0.0004
Zr 3.3266 3.3289 0.0007
Zr 1.6799 -1.6460 2.3529
Zr 3.3268 0.0021 0.0004
Zr -1.6469 -1.6481 2.3526
Sc 1.6796 1.6808 2.3533
Sc 3.3597 -3.2920 4.7059
```


The following is a DFT calculation (PBE-GGA) of a relaxed AlZnN2 crystal.

Summary:
Space-group type = I-42d
E_form (uncorrected) = -0.334 eV/atom

The structure in extended XYZ format:
```
8
Lattice="-3.5832 2.7132 -0.4732 -2.5468 -2.9686 2.2641 -2.0210 1.9253 4.7615" Properties=species:S:1:pos:R:3 pbc="T T T"
Al -3.0650 -0.1277 0.8955
Al -3.8164 -0.5855 3.9606
Zn 0.0000 0.0000 0.0000
Zn -4.3346 2.2554 2.5919
N -2.6292 -0.9710 2.5352
N -2.9787 1.7421 1.1888
N -3.8744 1.2783 4.2960
N -6.8195 1.2904 5.0849
```


The following is a DFT calculation (PBE-GGA) of a relaxed DyScAgAu crystal.

Summary:
Space-group type = F-43m
Energy relative to the elements = -0.548 eV/atom

The structure in extended XYZ format:
```
4
Lattice="4.9801 0.0000 0.0000 2.4901 4.3129 0.0000 2.4901 1.4376 4.0662" Properties=species:S:1:pos:R:3 pbc="T T T"
Ag 2.4901 1.4376 1.0166
Dy 0.0000 0.0000 0.0000
Sc 4.9801 2.8753 2.0331
Au 7.4702 4.3129 3.0497
```


The following is a DFT calculation (PBE-GGA) of a relaxed LaTlCd2 crystal.

Summary:
Space-group type = P2/m
Energy relative to the elements = -0.205 eV/atom

The structure in extended XYZ format:
```
4
Lattice="-1.1210 1.3909 -4.8668 -0.8081 -3.2299 -0.7369 -5.9732 1.1322 1.6994" Properties=species:S:1:pos:R:3 pbc="T T T"
La -2.2558 0.1710 -2.1928
Cd -3.5478 -1.8672 0.2835
Cd -0.6509 -2.4115 -0.5393
Tl -5.6464 -0.8778 -1.7116
```


The following is a DFT calculation (PBE-GGA) of a relaxed YAgS2 crystal.

Summary:
Space-group type = R-3m
E_form (uncorrected) = -1.314 eV/atom

The structure in extended XYZ format:
```
4
Lattice="-5.2581 -3.0988 5.0293 -2.9249 -0.6349 7.3203 -5.9807 0.9308 5.0900" Properties=species:S:1:pos:R:3 pbc="T T T"
Y -7.0818 -1.4015 8.7198
S -12.6857 -2.5104 15.6197
S -1.4780 -0.2925 1.8199
Ag 0.0000 0.0000 0.0000
```


The following is a DFT calculation (PBE-GGA) of a relaxed LaTb2Ho crystal.

Summary:
Space-group type = P4/mmm
Energy relative to the elements = 0.030 eV/atom

The structure in extended XYZ format:
```
4
Lattice="5.1153 0.0000 0.0000 0.0000 5.0838 0.0000 0.0000 0.0000 5.0838" Properties=species:S:1:pos:R:3 pbc="T T T"
Tb 0.0000 2.5419 0.0000
Tb 0.0000 0.0000 2.5419
Ho 2.5577 0.0000 0.0000
La 2.5577 2.5419 2.5419
```


The following is a DFT calculation (PBE-GGA) of a relaxed BaTeSeN2 crystal.

Summary:
Space-group type = P4/mmm
E_form (uncorrected) = 1.602 eV/atom

The structure in extended XYZ format:
```
5
Lattice="4.3938 0.0000 0.0000 0.0000 4.3938 0.0000 0.0000 0.0000 6.8054" Properties=species:S:1:pos:R:3 pbc="T T T"
N 0.0000 2.1969 0.0000
N 2.1969 0.0000 0.0000
Se 0.0000 0.0000 3.4027
Te 2.1969 2.1969 3.4027
Ba 0.0000 0.0000 0.0000
```


The following is a DFT calculation (PBE-GGA) of a relaxed Ti5Pb3O12 crystal.

Summary:
Space-group type = Ia-3d
E_form (uncorrected) = -2.412 eV/atom

The structure in extended XYZ format:
```
80
Lattice="11.3289 0.0000 0.0000 -3.7763 10.6810 0.0000 -3.7763 -5.3405 9.2500" Properties=species:S:1:pos:R:3 pbc="T T T"
O 4.5131 1.4064 8.2820
O -4.5131 -0.1351 7.5480
O 6.1756 -0.9537 1.7521
O 4.5949 8.1748 2.8729
O 1.1514 -1.4064 8.2820
O -3.5979 4.1938 9.1999
O -1.3770 -0.6761 4.5749
O -3.9547 7.4808 3.6069
O -2.0666 2.1403 5.6431
O 2.3993 1.6297 2.9230
O 5.1533 6.0165 4.6751
O 5.8428 3.2002 3.6069
O 0.8186 1.0709 5.3590
O -2.7068 9.2457 1.0181
O -3.2651 4.6644 4.6751
O 2.0665 -2.0535 5.5930
O -0.7368 6.8820 0.7340
O -2.0666 -4.1938 9.1999
O 7.0414 0.6761 4.5749
O 4.8458 -1.0709 5.3590
O 8.6221 2.5062 2.8729
O 7.3742 1.1467 0.0501
O 6.4830 -3.9052 8.2319
O 1.1514 1.5415 8.5160
O 0.5112 6.9702 6.3270
O 2.6249 3.7990 0.7340
O -0.7368 3.9341 0.9680
O -4.8458 2.8343 6.3771
O 1.7097 7.3940 3.6570
O 4.9277 5.2054 1.7020
O 2.9577 4.2696 3.8910
O -1.0695 6.4114 3.8910
O 1.3770 3.7107 6.3270
O 4.5949 1.4353 1.0181
O -1.1514 0.1351 7.5480
O -0.5112 0.9537 1.7521
O 3.5979 2.0535 5.5930
O -0.8186 3.9052 8.2319
O 7.7310 -2.1403 5.6431
O 8.2893 5.4756 1.7020
O 3.2651 -1.6297 2.9230
O 4.5131 -1.5415 8.5160
O 5.8429 9.5343 0.0501
O 0.1784 3.2870 3.6570
O -0.8186 -2.8343 6.3771
O -2.3993 6.2942 7.4979
O 2.6249 6.7469 0.9680
O 4.2875 4.3868 7.4979
Ti 1.8881 2.6702 4.6250
Ti -0.9441 2.6702 2.3125
Ti 0.9441 -2.6702 6.9375
Ti 4.7204 2.6702 6.9375
Ti 2.8322 8.0107 2.3125
Ti 0.9441 3.3378 8.0937
Ti -3.7763 2.6702 4.6250
Ti 2.8322 2.0027 1.1562
Ti 0.0000 0.0000 0.0000
Ti -0.9441 0.6676 5.7812
Ti 4.7204 -3.3378 8.0937
Ti -2.8322 6.0081 3.4687
Ti -1.8881 -2.6702 4.6250
Ti 4.7204 4.6729 3.4687
Ti 3.7763 -2.6702 4.6250
Ti 3.7763 5.3405 0.0000
Ti -0.9441 8.6783 1.1562
Ti 6.6085 -0.6676 5.7812
Ti 5.6644 0.0000 0.0000
Ti -1.8881 5.3405 0.0000
Pb -0.9441 4.6729 5.7812
Pb 2.8322 0.0000 6.9375
Pb 4.7204 0.6676 3.4687
Pb -2.8322 2.0027 8.0937
Pb 6.6085 3.3378 1.1562
Pb 0.9441 5.3405 2.3125
Pb 2.8322 6.0081 5.7812
Pb 8.4967 0.0000 2.3125
Pb 0.9441 -0.6676 3.4687
Pb -2.8322 -2.0027 8.0937
Pb -4.7204 5.3405 6.9375
Pb 6.6085 7.3432 1.1562
```


The following is a DFT calculation (PBE-GGA) of a relaxed K4HfTh3S8 crystal.

Summary:
Space-group type = R-3m
E_form (uncorrected) = -1.608 eV/atom

The structure in extended XYZ format:
```
16
Lattice="7.9985 0.0000 0.0000 0.0000 8.8265 0.5771 -3.9992 -3.9960 5.6583" Properties=species:S:1:pos:R:3 pbc="T T T"
Th 3.9992 4.4132 0.2886
Th -1.9996 2.4153 3.1177
Th 1.9996 2.4153 3.1177
K 0.0000 0.0000 0.0000
K -1.9996 -1.9980 2.8291
K 3.9992 0.0000 0.0000
K 1.9996 -1.9980 2.8291
S 0.0000 4.4352 2.9467
S 1.8690 2.5237 0.2752
S 2.1302 2.3068 5.9602
S 3.9992 0.3953 3.2887
S 0.0000 0.3836 3.0964
S 3.9992 4.4469 3.1390
S -2.1302 2.3068 5.9602
S 6.1294 2.5237 0.2752
Hf 0.0000 4.4132 0.2886
```


The following is a DFT calculation (PBE-GGA) of a relaxed NaSrSn crystal.

Summary:
Space-group type = I4mm
Energy relative to the elements = -0.292 eV/atom

The structure in extended XYZ format:
```
3
Lattice="4.3762 0.0000 0.0000 0.0000 4.3762 0.0000 -2.1881 -2.1881 5.2079" Properties=species:S:1:pos:R:3 pbc="T T T"
Sn 0.0000 0.0000 2.9028
Sr 2.1881 2.1881 4.6027
Na 2.1881 2.1881 1.3480
```


The following is a DFT calculation (PBE-GGA) of a relaxed KZn2Ni crystal.

Summary:
Space-group type = F-43m
Energy relative to the elements = 0.561 eV/atom

The structure in extended XYZ format:
```
4
Lattice="4.7992 0.0000 0.0000 2.3996 4.1562 0.0000 2.3996 1.3854 3.9185" Properties=species:S:1:pos:R:3 pbc="T T T"
Ni 7.1988 4.1562 2.9389
Zn 0.0000 0.0000 0.0000
Zn 2.3996 1.3854 0.9796
K 4.7992 2.7708 1.9593
```


The following is a DFT calculation (PBE-GGA) of a relaxed K2Tl crystal.

Summary:
Space-group type = I4/mmm
Energy relative to the elements = -0.010 eV/atom

The structure in extended XYZ format:
```
3
Lattice="8.2522 -0.0035 0.0000 5.9536 5.7143 0.0000 -7.1029 -2.8554 3.0813" Properties=species:S:1:pos:R:3 pbc="T T T"
Tl 0.0000 0.0000 0.0000
K 5.1377 2.0654 0.0000
K 9.0682 3.6454 0.0000
```


The following is a DFT calculation (PBE-GGA) of a relaxed ZrCd2Co crystal.

Summary:
Space-group type = I-42d
Energy relative to the elements = 0.325 eV/atom

The structure in extended XYZ format:
```
8
Lattice="3.8813 0.0000 0.0000 0.0000 3.8813 0.0000 1.9407 1.9407 10.5077" Properties=species:S:1:pos:R:3 pbc="T T T"
Zr 0.0000 0.0000 0.0000
Zr 3.8813 1.9407 5.2539
Cd 4.8517 4.8114 7.8808
Cd 1.0106 2.9110 2.6269
Cd 2.9110 2.9513 7.8808
Cd 2.8707 0.9703 2.6269
Co 1.9407 1.9407 0.0000
Co 1.9407 3.8813 5.2539
```


The following is a DFT calculation (PBE-GGA) of a relaxed LaBiPtO6 crystal.

Summary:
Space-group type = P-31c
E_form (uncorrected) = -1.355 eV/atom

The structure in extended XYZ format:
```
18
Lattice="5.7695 0.0000 0.0000 -2.8848 4.9966 0.0000 0.0000 0.0000 9.0688" Properties=species:S:1:pos:R:3 pbc="T T T"
O 1.2150 1.6097 3.3922
O 4.5546 1.6097 1.1422
O 3.6713 3.1395 3.3922
O 0.7866 1.8571 7.9266
O 3.7680 0.2473 3.3922
O 0.8832 4.7492 7.9266
O -0.7866 1.8571 5.6766
O 2.0982 3.1395 1.1422
O 1.6698 3.3868 5.6766
O 2.0015 0.2473 1.1422
O -0.8832 4.7492 5.6766
O -1.6698 3.3868 7.9266
Pt 2.8848 1.6655 2.2672
Pt 0.0000 3.3310 6.8016
La 0.0000 3.3310 2.2672
La 2.8848 1.6655 6.8016
Bi 0.0000 0.0000 0.0000
Bi 0.0000 0.0000 4.5344
```


The following is a DFT calculation (PBE-GGA) of a relaxed Li3MgZn crystal.

Summary:
Space-group type = Pm-3m
Energy relative to the elements = 0.179 eV/atom

The structure in extended XYZ format:
```
5
Lattice="-3.7587 0.0576 -2.9243 1.0903 -4.3910 -1.4878 -2.7141 -1.8436 3.4522" Properties=species:S:1:pos:R:3 pbc="T T T"
Mg -2.6913 -3.0885 -0.4800
Li -1.8794 0.0288 -1.4622
Li 0.5451 -2.1955 -0.7439
Li -1.3571 -0.9218 1.7261
Zn 0.0000 0.0000 0.0000
```


The following is a DFT calculation (PBE-GGA) of a relaxed LiCaTc crystal.

Summary:
Space-group type = I4mm
Energy relative to the elements = 0.575 eV/atom

The structure in extended XYZ format:
```
3
Lattice="7.6827 -0.0009 0.0000 6.6638 3.8232 0.0000 -7.1732 -1.9111 1.9788" Properties=species:S:1:pos:R:3 pbc="T T T"
Ca 0.2018 0.0538 0.0000
Tc 9.6472 2.5703 0.0000
Li 4.4975 1.1983 0.0000
```


The following is a DFT calculation (PBE-GGA) of a relaxed AlCoCu2 crystal.

Summary:
Space-group type = I-42d
Energy relative to the elements = 0.164 eV/atom

The structure in extended XYZ format:
```
8
Lattice="3.4279 0.0000 0.0000 0.0000 3.4279 0.0000 1.7139 1.7139 8.8739" Properties=species:S:1:pos:R:3 pbc="T T T"
Al 1.7139 1.7139 0.0000
Al 1.7139 3.4279 4.4370
Cu 2.5826 0.8570 2.2185
Cu 4.2848 4.2965 6.6554
Cu 2.5709 2.5592 6.6554
Cu 0.8453 2.5709 2.2185
Co 3.4279 1.7139 4.4370
Co 0.0000 0.0000 0.0000
```


The following is a DFT calculation (PBE-GGA) of a relaxed KTl2SiP crystal.

Summary:
Space-group type = P4/mmm
E_form (uncorrected) = 0.643 eV/atom

The structure in extended XYZ format:
```
5
Lattice="-1.8482 -2.1299 4.5734 -2.9815 -4.4108 -3.2591 4.3435 -3.1493 0.2886" Properties=species:S:1:pos:R:3 pbc="T T T"
Si 0.0000 0.0000 0.0000
K -1.4908 -2.2054 -1.6295
Tl 2.1718 -1.5747 0.1443
Tl -0.9241 -1.0650 2.2867
P -0.2431 -4.8450 0.8014
```


Number 1: E_tot -2.94 eV/f.u.. Number 2: E_tot -31.08 eV/f.u.. Number 3: E_tot -76.21 eV/f.u.. Number 4: E_tot -23.00 eV/f.u.. Number 5: E_tot -19.25 eV/f.u.. Number 6: E_tot -9.94 eV/f.u.. Number 7: E_tot -22.82 eV/f.u.. Number 8: E_tot -18.65 eV/f.u.. Number 9: E_tot -17.19 eV/f.u.. Number 10: E_tot -158.34 eV/f.u.. Number 11: E_tot -95.36 eV/f.u.. Number 12: E_tot -7.88 eV/f.u.. Number 13: E_tot -7.18 eV/f.u.. Number 14: E_tot -4.59 eV/f.u.. Number 15: E_tot -16.19 eV/f.u.. Number 16: E_tot -56.80 eV/f.u.. Number 17: E_tot -7.71 eV/f.u.. Number 18: E_tot -12.56 eV/f.u.. Number 19: E_tot -18.39 eV/f.u.. Number 20: E_tot -13.45 eV/f.u..